<a>
VASP calculation (PBE-GGA) on Tb3SmSe6 after structural relaxation.

The value obtained for the size of the total moment is 0.00 μB/f.u.

The structure belongs to space group R-3 (No. 148, hexagonal axes); the cell edges are 12.0766, 12.0766 and 14.4476 Å and the angles 90.00°, 90.00° and 120.00°. The asymmetric unit holds Tb at (0.0521, 0.7809, 0.2025), Sm at (0.0000, 0.0000, 0.0000), Sm at (0.0000, 0.0000, 0.5000), Se at (0.0185, 0.8034, 0.3965) and Se at (0.0325, 0.8370, 0.8721).

=====

<b>
VASP calculation (PBE-GGA) on Tb3SmSe6 after structural relaxation.

The value obtained for the size of the total moment is 0.00 μB/f.u.

The structure belongs to space group P2_1/m (No. 11); the cell edges are 11.632, 4.141 and 11.933 Å and the angles 90.00°, 109.00° and 90.00°. The asymmetric unit holds Tb at (0.066, 0.250, 0.168), Tb at (0.182, 0.750, 0.502), Tb at (0.341, 0.250, 0.916), Sm at (0.455, 0.250, 0.307), Se at (0.020, 0.250, 0.385), Se at (0.104, 0.250, 0.938), Se at (0.244, 0.750, 0.276), Se at (0.306, 0.750, 0.750), Se at (0.386, 0.250, 0.535) and Se at (0.417, 0.750, 0.098).

=====

Which is the most stable structure? <b> is the most stable.

=====

<a>
VASP calculation (PBE-GGA) on SmTeSe after structural relaxation.

The value obtained for the size of the total moment is 0.00 μB/f.u.

The structure belongs to space group I4mm (No. 107); the cell edges are 3.908, 3.908 and 10.647 Å and the angles 90.00°, 90.00° and 90.00°. The asymmetric unit holds Sm at (0.000, 0.000, 0.000), Te at (0.000, 0.000, 0.676) and Se at (0.000, 0.000, 0.387).

=====

<b>
VASP calculation (PBE-GGA) on SmTeSe after structural relaxation.

The value obtained for the size of the total moment is 0.00 μB/f.u.

The structure belongs to space group C2/m (No. 12); the cell edges are 9.472, 5.217 and 9.785 Å and the angles 90.00°, 112.50° and 90.00°. The asymmetric unit holds Sm at (0.095, 0.000, 0.290), Te at (0.212, 0.000, 0.647) and Se at (0.131, 0.000, 0.004).

=====

Which is the most stable structure? <a> is the most stable.

=====

<a>
VASP calculation (PBE-GGA) on Sm3Te2Se after structural relaxation.

The value obtained for the size of the total moment is 0.00 μB/f.u.

The structure belongs to space group P6_3/mmc (No. 194); the cell edges are 4.3046, 4.3046 and 22.1118 Å and the angles 90.00°, 90.00° and 120.00°. The asymmetric unit holds Sm at (0.0000, 0.0000, 0.0000), Sm at (0.3333, 0.6667, 0.1692), Te at (0.3333, 0.6667, 0.5853) and Se at (0.0000, 0.0000, 0.2500).

=====

<b>
VASP calculation (PBE-GGA) on Sm3Te2Se after structural relaxation.

The value obtained for the size of the total moment is 0.00 μB/f.u.

The structure belongs to space group Immm (No. 71); the cell edges are 4.324, 6.132 and 13.274 Å and the angles 90.00°, 90.00° and 90.00°. The asymmetric unit holds Sm at (0.000, 0.000, 0.000), Sm at (0.000, 0.000, 0.355), Te at (0.000, 0.500, 0.325) and Se at (0.000, 0.500, 0.000).

=====

Which is the most stable structure? <b> is the most stable.

=====

<a>
VASP calculation (PBE-GGA) on Sm2ThSe4 after structural relaxation.

The value obtained for the size of the total moment is 0.00 μB/f.u.

The structure belongs to space group Cmcm (No. 63); the cell edges are 4.087, 13.780 and 13.889 Å and the angles 90.00°, 90.00° and 90.00°. The asymmetric unit holds Sm at (0.000, 0.134, 0.068), Th at (0.000, 0.373, 0.250), Se at (0.000, 0.028, 0.250), Se at (0.000, 0.224, 0.626) and Se at (0.000, 0.500, 0.000).

=====

<b>
VASP calculation (PBE-GGA) on Sm2ThSe4 after structural relaxation.

The value obtained for the size of the total moment is 0.00 μB/f.u.

The structure belongs to space group Imma (No. 74); the cell edges are 8.335, 8.400 and 11.641 Å and the angles 90.00°, 90.00° and 90.00°. The asymmetric unit holds Sm at (0.000, 0.000, 0.000), Sm at (0.250, 0.250, 0.250), Th at (0.000, 0.000, 0.500), Se at (0.000, 0.002, 0.251) and Se at (0.249, 0.250, 0.993).

=====

Which is the most stable structure? <b> is the most stable.

=====

<a>
VASP calculation (PBE-GGA) on Sm3ThSe4 after structural relaxation.

The value obtained for the size of the total moment is 0.00 μB/f.u.

The structure belongs to space group P6_3/mmc (No. 194); the cell edges are 4.1052, 4.1052 and 28.3767 Å and the angles 90.00°, 90.00° and 120.00°. The asymmetric unit holds Sm at (0.0000, 0.0000, 0.0000), Sm at (0.3333, 0.6667, 0.1231), Th at (0.3333, 0.6667, 0.7500), Se at (0.0000, 0.0000, 0.1847) and Se at (0.3333, 0.6667, 0.5615).

=====

<b>
VASP calculation (PBE-GGA) on Sm3ThSe4 after structural relaxation.

The value obtained for the size of the total moment is 0.00 μB/f.u.

The structure belongs to space group Cmmm (No. 65); the cell edges are 8.397, 11.833 and 4.159 Å and the angles 90.00°, 90.00° and 90.00°. The asymmetric unit holds Sm at (0.000, 0.000, 0.000), Sm at (0.250, 0.250, 0.500), Th at (0.000, 0.500, 0.000), Se at (0.000, 0.249, 0.000) and Se at (0.247, 0.000, 0.500).

=====

Which is the most stable structure? <b> is the most stable.